Pm6Dy2Er5 | GGA-PBE | relaxed

Properties
ΔH_f (0 K) in meV per atom: 102
N(E_F) in states/eV/cell: 30.23
Space-group type: Pbam
Calculated total energy in eV per atom: -4.55
Magnetization in μB per atom: 0.00

Cell lengths 11.6688, 20.4060, 3.6076 Å; angles 90.00, 90.00, 90.00 degrees
Sites, in units of the cell vectors:
Pm (0.0601, 0.0796, 0.0000)
Pm (0.0829, 0.3666, 0.0000)
Pm (0.1728, 0.6332, 0.5000)
Pm (0.3272, 0.1332, 0.5000)
Pm (0.4171, 0.8666, 0.0000)
Pm (0.4399, 0.5796, 0.0000)
Pm (0.5601, 0.4204, 0.0000)
Pm (0.5829, 0.1334, 0.0000)
Pm (0.6728, 0.8668, 0.5000)
Pm (0.8272, 0.3668, 0.5000)
Pm (0.9171, 0.6334, 0.0000)
Pm (0.9399, 0.9204, 0.0000)
Dy (0.1652, 0.7887, 0.0000)
Dy (0.3348, 0.2887, 0.0000)
Dy (0.6652, 0.7113, 0.0000)
Dy (0.8348, 0.2113, 0.0000)
Er (0.0000, 0.5000, 0.5000)
Er (0.0938, 0.2255, 0.5000)
Er (0.1982, 0.9446, 0.5000)
Er (0.3018, 0.4446, 0.5000)
Er (0.4062, 0.7255, 0.5000)
Er (0.5000, 0.0000, 0.5000)
Er (0.5938, 0.2745, 0.5000)
Er (0.6982, 0.5554, 0.5000)
Er (0.8018, 0.0554, 0.5000)
Er (0.9062, 0.7745, 0.5000)